The following is a PBE calculation of a geometry-optimized CsRbHg4Au2 structure, from the Alexandria database.

Values from the calculation:
Total DFT energy (no corrections): -1.3879 eV/atom
Crystal system: tetragonal
Calculated volume: 36.13 Å³ per atom
N(E_F): 2.96 states/eV per cell
Total magnetization: 0.0000 μB per atom

Cell lengths 4.871, 4.871, 12.182 Å; angles 90.00, 90.00, 90.00 degrees
Positions (direct):
Au  0.500  0.500  0.384
Cs  0.000  0.000  0.500
Hg  0.000  0.500  0.766
Au  0.500  0.500  0.616
Rb  0.000  0.000  0.000
Hg  0.000  0.500  0.234
Hg  0.500  0.000  0.234
Hg  0.500  0.000  0.766

The following is a PBE calculation of a geometry-optimized MnSnIrSe structure, from the Alexandria database.

Values from the calculation:
Crystal system: orthorhombic
Calculated volume: 19.12 Å³ per atom
N(E_F): 2.13 states/eV per cell
Total magnetization: 0.8963 μB per atom
Energy relative to the elements, uncorrected: -0.02 eV/atom

Cell lengths 3.660, 3.402, 6.409 Å; angles 90.00, 106.57, 90.00 degrees
Positions (direct):
Sn  0.465  0.000  0.411
Mn  0.238  0.000  0.959
Se  0.730  0.500  0.942
Ir  0.071  0.500  0.624

The following is a PBE calculation of a geometry-optimized CePaN2F structure, from the Alexandria database.

Values from the calculation:
Crystal system: tetragonal
Calculated volume: 14.33 Å³ per atom
N(E_F): 10.07 states/eV per cell
Total magnetization: 0.0937 μB per atom
Energy relative to the elements, uncorrected: -2.20 eV/atom

Cell lengths 3.515, 3.515, 11.599 Å; angles 90.00, 90.00, 90.00 degrees
Positions (direct):
N  0.000  0.500  0.707
N  0.000  0.500  0.115
N  0.500  0.000  0.293
F  0.500  0.500  0.500
Ce  0.000  0.500  0.348
Pa  0.000  0.500  0.890
F  0.000  0.000  0.500
Pa  0.500  0.000  0.110
N  0.500  0.000  0.885
Ce  0.500  0.000  0.652